Here is a relaxed structure of Ni6AsP from Alexandria via LeMat-Bulk. Energies are from PBE.

The structure in POSCAR format:
```
Ni6AsP
1.0
3.566 0.000 0.000
0.000 6.519 0.000
0.000 0.000 7.864
Ni As P
12 2 2
direct
0.000 0.000 0.000 Ni
0.000 0.196 0.279 Ni
0.000 0.304 0.779 Ni
0.000 0.500 0.500 Ni
0.000 0.696 0.779 Ni
0.000 0.804 0.279 Ni
0.500 0.000 0.782 Ni
0.500 0.223 0.512 Ni
0.500 0.277 0.012 Ni
0.500 0.500 0.282 Ni
0.500 0.723 0.012 Ni
0.500 0.777 0.512 Ni
0.000 0.000 0.582 As
0.000 0.500 0.082 As
0.500 0.000 0.184 P
0.500 0.500 0.684 P
```

Output
SG	Amm2, No. 38
DFT formation energy	-0.261	eV per atom